No. 1
An optimized crystal structure of RbCa3Hf, computed with PBE.

Summary:
As for the space group: Pm-3m, No. 221. The calculation puts the energy relative to the elements at 7.30 eV/f.u. The value obtained for the volume is 36.5 Å³/atom.

POSCAR file:
```
RbCa3Hf
1.0
-4.703 0.251 -3.162
-2.369 -4.038 3.203
-2.109 3.976 3.453
Rb Ca Hf
1 3 1
Direct
0.000 0.000 0.000
0.000 0.000 0.500
0.000 0.500 0.000
0.500 0.000 0.000
0.500 0.500 0.500
```

---

No. 2
An optimized crystal structure of CsInAu3, computed with PBE.

Summary:
As for the space group: Pm-3m, No. 221. The calculation puts the energy relative to the elements at 4.85 eV/f.u. The value obtained for the volume is 47.2 Å³/atom.

POSCAR file:
```
CsInAu3
1.0
-0.512 -1.392 5.999
4.730 -3.944 -0.512
3.944 4.549 1.392
Au Cs In
3 1 1
Direct
0.000 0.500 0.000
0.500 0.000 0.000
0.000 0.000 0.500
0.000 0.000 0.000
0.500 0.500 0.500
```

---

No. 3
An optimized crystal structure of Eu3Sn5As12, computed with PBE.

Summary:
As for the space group: Ia-3d, No. 230. The calculation puts the energy relative to the elements at -2.40 eV/f.u. The value obtained for the volume is 30.2 Å³/atom.

POSCAR file:
```
Eu3Sn5As12
1.0
-4.841 -7.150 11.819
-1.490 -8.521 -11.807
14.119 3.412 1.804
Sn As Eu
20 48 12
Direct
0.500 0.500 0.500
0.125 0.750 0.375
0.250 0.875 0.125
0.000 0.000 0.000
0.375 0.250 0.125
0.000 0.000 0.500
0.000 0.500 0.500
0.750 0.625 0.375
0.500 0.000 0.000
0.750 0.125 0.875
0.875 0.625 0.750
0.250 0.375 0.625
0.625 0.750 0.875
0.125 0.375 0.250
0.625 0.875 0.250
0.875 0.250 0.625
0.375 0.125 0.750
0.500 0.500 0.000
0.500 0.000 0.500
0.000 0.500 0.000
0.157 0.760 0.570
0.810 0.913 0.070
0.690 0.430 0.587
0.897 0.087 0.657
0.587 0.657 0.397
0.587 0.930 0.690
0.930 0.587 0.190
0.343 0.930 0.740
0.310 0.740 0.397
0.657 0.070 0.260
0.603 0.760 0.690
0.260 0.570 0.657
0.843 0.240 0.430
0.260 0.690 0.103
0.103 0.190 0.260
0.603 0.843 0.413
0.397 0.240 0.310
0.397 0.157 0.587
0.657 0.587 0.897
0.913 0.103 0.843
0.690 0.260 0.603
0.190 0.103 0.760
0.913 0.810 0.570
0.087 0.190 0.430
0.570 0.260 0.157
0.740 0.430 0.343
0.157 0.397 0.087
0.070 0.657 0.760
0.103 0.913 0.343
0.430 0.740 0.843
0.810 0.897 0.240
0.570 0.310 0.913
0.930 0.343 0.240
0.430 0.690 0.087
0.413 0.343 0.603
0.760 0.157 0.070
0.343 0.413 0.103
0.190 0.087 0.930
0.843 0.603 0.913
0.240 0.397 0.810
0.413 0.070 0.310
0.760 0.603 0.190
0.240 0.843 0.930
0.897 0.810 0.740
0.070 0.413 0.810
0.087 0.897 0.157
0.740 0.310 0.897
0.310 0.570 0.413
0.250 0.125 0.375
0.125 0.875 0.750
0.750 0.375 0.125
0.625 0.375 0.750
0.375 0.750 0.625
0.375 0.625 0.250
0.250 0.625 0.875
0.125 0.250 0.875
0.750 0.875 0.625
0.875 0.125 0.250
0.625 0.250 0.375
0.875 0.750 0.125
```

---

no.,DFT total energy (eV/atom)
1,-1.92
2,-1.71
3,-5.45